Crystalline Sm2ScAg at its relaxed geometry, computed with PBE.

a = 3.5107 Å, b = 3.5107 Å, c = 10.5964 Å
α = 80.46°, β = 80.46°, γ = 60.00°
Closest atoms and distances in Å follow each position.
Fractional positions:
1 Ag 0.6672 0.6672 0.9984  6 Sm 3.19-3.22, 6 Ag 3.51
2 Sm 0.0795 0.0795 0.7616  3 Ag 3.19, 3 Sc 3.38, 6 Sm 3.51
3 Sm 0.2537 0.2537 0.2388  3 Ag 3.22, 3 Sc 3.40, 6 Sm 3.51
4 Sc 0.4996 0.4996 0.5012  6 Sm 3.38-3.40, 6 Sc 3.51

Output
Excess energy over the best structure of this formula in the dataset: 110.8 meV/atom
Energy of formation from the pure elements: 0.020 eV per atom
M_tot: 0.0 μB/cell